Entry from Alexandria: ScHgI2O after structural relaxation (PBE).

The energy above the most stable polymorph in this dataset is 0 meV/atom. The calculation puts the uncorrected energy at -4.11 eV/atom. As for the crystal system: tetragonal. The calculation puts the uncorrected formation energy at -1.1688 eV per atom. As for the total magnetic moment: 0.00 μB per atom.

It has space group P4/mmm (No. 123), with a = 6.0355 Å, b = 6.0355 Å, c = 3.9012 Å, α = 90.00°, β = 90.00° and γ = 90.00°. Symmetry generates all atoms from Sc at (0.0000, 0.0000, 0.0000), Hg at (0.5000, 0.5000, 0.5000), I at (0.0000, 0.5000, 0.0000) and O at (0.0000, 0.0000, 0.5000).


Entry from Alexandria: ScHgI2O after structural relaxation (PBE).

The energy above the most stable polymorph in this dataset is 1167 meV/atom. The calculation puts the uncorrected energy at -2.94 eV/atom. As for the crystal system: tetragonal. The calculation puts the uncorrected formation energy at -0.0017 eV per atom. As for the total magnetic moment: 0.19 μB per atom.

It has space group P4/mmm (No. 123), with a = 6.0431 Å, b = 6.0431 Å, c = 4.0474 Å, α = 90.00°, β = 90.00° and γ = 90.00°. Symmetry generates all atoms from Sc at (0.0000, 0.0000, 0.0000), Hg at (0.5000, 0.5000, 0.5000), I at (0.0000, 0.5000, 0.5000) and O at (0.5000, 0.5000, 0.0000).


Entry from Alexandria: HgSeIO4 after structural relaxation (PBE).

The calculation puts the uncorrected energy at -3.95 eV/atom. As for the crystal system: monoclinic. The calculation puts the uncorrected formation energy at -0.3593 eV per atom. As for the total magnetic moment: 0.00 μB per atom.

It has space group C2/m (No. 12), with a = 15.0178 Å, b = 6.2550 Å, c = 6.3119 Å, α = 90.00°, β = 104.26° and γ = 90.00°. Symmetry generates all atoms from Hg at (0.1934, 0.0000, 0.2970), Se at (0.1487, 0.0000, 0.7508), I at (0.0518, 0.5000, 0.2061), O at (0.0470, 0.0000, 0.7991), O at (0.1708, 0.2084, 0.5951) and O at (0.2329, 0.0000, 0.9901).


Entry from Alexandria: HgSeIO2 after structural relaxation (PBE).

The energy above the most stable polymorph in this dataset is 0 meV/atom. The calculation puts the uncorrected energy at -2.98 eV/atom. As for the crystal system: tetragonal. The calculation puts the uncorrected formation energy at 0.0706 eV per atom. As for the total magnetic moment: 0.00 μB per atom.

It has space group P4/mmm (No. 123), with a = 4.0155 Å, b = 4.0155 Å, c = 7.5006 Å, α = 90.00°, β = 90.00° and γ = 90.00°. Symmetry generates all atoms from Hg at (0.0000, 0.0000, 0.0000), Se at (0.5000, 0.5000, 0.5000), I at (0.5000, 0.5000, 0.0000) and O at (0.0000, 0.5000, 0.5000).


Entry from Alexandria: HgSeIO2 after structural relaxation (PBE).

The energy above the most stable polymorph in this dataset is 481 meV/atom. The calculation puts the uncorrected energy at -2.50 eV/atom. As for the crystal system: tetragonal. The calculation puts the uncorrected formation energy at 0.5520 eV per atom. As for the total magnetic moment: 0.26 μB per atom.

It has space group P4/mmm (No. 123), with a = 4.1500 Å, b = 4.1500 Å, c = 8.1644 Å, α = 90.00°, β = 90.00° and γ = 90.00°. Symmetry generates all atoms from Hg at (0.0000, 0.0000, 0.0000), Se at (0.5000, 0.5000, 0.5000), I at (0.0000, 0.0000, 0.5000) and O at (0.0000, 0.5000, 0.0000).


Entry from Alexandria: Hg4SeI2O after structural relaxation (PBE).

The calculation puts the uncorrected energy at -1.62 eV/atom. As for the crystal system: monoclinic. The calculation puts the uncorrected formation energy at -0.0294 eV per atom. As for the total magnetic moment: 0.00 μB per atom.

It has space group C2/c (No. 15), with a = 10.7094 Å, b = 12.4071 Å, c = 8.5390 Å, α = 90.00°, β = 124.49° and γ = 90.00°. Symmetry generates all atoms from Hg at (0.0473, 0.2379, 0.0343), Hg at (0.1957, 0.0677, 0.8890), Se at (0.0000, 0.0000, 0.0000), I at (0.0000, 0.5000, 0.0000), I at (0.2500, 0.2500, 0.5000) and O at (0.2500, 0.2500, 0.0000).


Entry from Alexandria: SiHgI2O after structural relaxation (PBE).

The energy above the most stable polymorph in this dataset is 0 meV/atom. The calculation puts the uncorrected energy at -3.11 eV/atom. As for the crystal system: tetragonal. The calculation puts the uncorrected formation energy at -0.3551 eV per atom. As for the total magnetic moment: 0.00 μB per atom.

It has space group P4/mmm (No. 123), with a = 5.8668 Å, b = 5.8668 Å, c = 3.5403 Å, α = 90.00°, β = 90.00° and γ = 90.00°. Symmetry generates all atoms from Si at (0.0000, 0.0000, 0.0000), Hg at (0.5000, 0.5000, 0.5000), I at (0.0000, 0.5000, 0.0000) and O at (0.0000, 0.0000, 0.5000).


Entry from Alexandria: SiHgI2O after structural relaxation (PBE).

The energy above the most stable polymorph in this dataset is 925 meV/atom. The calculation puts the uncorrected energy at -2.19 eV/atom. As for the crystal system: tetragonal. The calculation puts the uncorrected formation energy at 0.5704 eV per atom. As for the total magnetic moment: 0.00 μB per atom.

It has space group P4/mmm (No. 123), with a = 5.9995 Å, b = 5.9995 Å, c = 4.0489 Å, α = 90.00°, β = 90.00° and γ = 90.00°. Symmetry generates all atoms from Si at (0.0000, 0.0000, 0.0000), Hg at (0.5000, 0.5000, 0.5000), I at (0.0000, 0.5000, 0.5000) and O at (0.5000, 0.5000, 0.0000).